Entry from Alexandria: Er4Ag3Rh after structural relaxation (PBE).

Cell: 3.5285 3.5285 14.3769 Å, 90.00 90.00 90.00°
Atoms (fractional coordinates):
Er  0.0000  0.0000  0.1128
Er  0.0000  0.0000  0.3706
Er  0.0000  0.0000  0.6294
Er  0.0000  0.0000  0.8872
Ag  0.5000  0.5000  0.2445
Ag  0.5000  0.5000  0.5000
Ag  0.5000  0.5000  0.7555
Rh  0.5000  0.5000  0.0000

ΔH_f (0 K)   -11.14 kcal/mol of atoms
Theoretical density   10.2 Mg/m³
E   -4.753 eV per atom

---

Entry from Alexandria: Rb6Au2SBr after structural relaxation (PBE).

Cell: 8.5457 9.0986 14.7763 Å, 90.00 123.20 90.00°
Atoms (fractional coordinates):
Rb  0.1018  0.0600  0.2399
Rb  0.1018  0.4400  0.7399
Rb  0.2516  0.7059  0.0761
Rb  0.2516  0.7941  0.5761
Rb  0.3650  0.1792  0.0638
Rb  0.3650  0.3208  0.5638
Rb  0.6350  0.6792  0.4362
Rb  0.6350  0.8208  0.9362
Rb  0.7484  0.2059  0.4239
Rb  0.7484  0.2941  0.9239
Rb  0.8982  0.5600  0.2601
Rb  0.8982  0.9400  0.7601
Au  0.2908  0.0809  0.7573
Au  0.2908  0.4191  0.2573
Au  0.7092  0.5809  0.7427
Au  0.7092  0.9191  0.2427
S  0.0000  0.0000  0.0000
S  0.0000  0.5000  0.5000
Br  0.5000  0.0000  0.5000
Br  0.5000  0.5000  0.0000

Theoretical density   3.5 Mg/m³
E_form (uncorrected)   -0.716 eV per atom
E   -2.532 eV per atom